[1]
! In2HgPb5 (PBE-GGA, optimized geometry); values from VASP
! * electronic total energy: -3.021 eV per atom
! * ΔE_f: 0.0187 eV/atom
! * calculated density: 10.23 g cm⁻³
&SYSTEM
  ibrav = 0, nat = 8, ntyp = 3
/
ATOMIC_SPECIES
In 114.82 In.upf
Hg 200.59 Hg.upf
Pb 207.20 Pb.upf
ATOMIC_POSITIONS angstrom
In 3.640 0.000 0.000
In 0.000 3.640 0.000
Hg 0.000 0.000 0.000
Pb 1.820 1.820 -2.246
Pb 1.820 -1.820 2.246
Pb -1.820 1.820 2.246
Pb 0.000 0.000 4.492
Pb 1.820 1.820 2.246
CELL_PARAMETERS angstrom
-3.640 3.640 4.492
3.640 -3.640 4.492
3.640 3.640 -4.492

***

[2]
! In8Hg3Pb4 (PBE-GGA, optimized geometry); values from VASP
! * electronic total energy: -2.425 eV per atom
! * ΔE_f: 0.0843 eV/atom
! * calculated density: 8.73 g cm⁻³
&SYSTEM
  ibrav = 0, nat = 15, ntyp = 3
/
ATOMIC_SPECIES
In 114.82 In.upf
Hg 200.59 Hg.upf
Pb 207.20 Pb.upf
ATOMIC_POSITIONS angstrom
In 5.924 4.309 0.000
In 2.484 0.000 1.402
In 5.263 3.060 3.162
In 1.971 0.000 4.571
In 8.555 0.000 1.752
In 5.263 -3.060 3.162
In 8.042 0.000 4.921
In 5.924 -4.309 0.000
Hg -0.661 0.000 3.162
Hg 2.301 2.982 3.162
Hg 2.301 -2.982 3.162
Pb 2.962 2.982 0.000
Pb 2.962 -2.982 0.000
Pb 5.924 0.000 0.000
Pb 5.263 0.000 3.162
CELL_PARAMETERS angstrom
5.924 -5.965 0.000
5.924 5.965 0.000
-1.323 0.000 6.323

***

[3]
! InHg7Pb12 (PBE-GGA, optimized geometry); values from VASP
! * electronic total energy: -2.430 eV per atom
! * ΔE_f: 0.0379 eV/atom
! * calculated density: 10.86 g cm⁻³
&SYSTEM
  ibrav = 0, nat = 20, ntyp = 3
/
ATOMIC_SPECIES
In 114.82 In.upf
Hg 200.59 Hg.upf
Pb 207.20 Pb.upf
ATOMIC_POSITIONS angstrom
In 0.000 0.000 0.000
Hg -0.643 -4.949 2.943
Hg -3.965 3.032 2.943
Hg -4.608 -1.918 8.138
Hg 0.000 0.000 5.541
Hg 4.608 1.918 2.943
Hg 3.965 -3.032 8.138
Hg 0.643 4.949 8.138
Pb -1.397 -1.545 2.967
Pb -3.177 0.532 4.950
Pb -2.050 -2.485 6.131
Pb -0.639 1.983 2.967
Pb 2.037 -0.438 2.967
Pb 1.127 -3.018 4.950
Pb -1.127 3.018 6.131
Pb -2.037 0.438 8.114
Pb 0.639 -1.983 8.114
Pb 2.050 2.485 4.950
Pb 3.177 -0.532 6.131
Pb 1.397 1.545 8.114
CELL_PARAMETERS angstrom
6.918 3.994 3.694
-6.918 3.994 3.694
0.000 -7.988 3.694

***

[4]
! In7Hg2Pb3 (PBE-GGA, optimized geometry); values from VASP
! * electronic total energy: -2.542 eV per atom
! * ΔE_f: 0.0331 eV/atom
! * calculated density: 8.95 g cm⁻³
&SYSTEM
  ibrav = 0, nat = 12, ntyp = 3
/
ATOMIC_SPECIES
In 114.82 In.upf
Hg 200.59 Hg.upf
Pb 207.20 Pb.upf
ATOMIC_POSITIONS angstrom
In 0.000 0.000 0.000
In -1.476 1.745 13.909
In 0.343 1.745 8.269
In 2.149 0.000 2.820
In 1.451 0.000 13.869
In 3.257 1.745 8.420
In 5.076 1.745 2.780
Hg 1.350 1.745 5.407
Hg 2.250 1.745 11.283
Pb -0.637 0.000 11.045
Pb 2.910 1.745 0.000
Pb 4.237 0.000 5.644
CELL_PARAMETERS angstrom
5.821 0.000 0.000
0.000 3.490 0.000
-2.220 0.000 16.689

***

[5]
! InHg2Pb (PBE-GGA, optimized geometry); values from VASP
! * electronic total energy: -1.732 eV per atom
! * ΔE_f: 0.0310 eV/atom
! * calculated density: 10.82 g cm⁻³
&SYSTEM
  ibrav = 0, nat = 4, ntyp = 3
/
ATOMIC_SPECIES
In 114.82 In.upf
Hg 200.59 Hg.upf
Pb 207.20 Pb.upf
ATOMIC_POSITIONS angstrom
In 0.000 0.000 0.000
Hg 0.000 2.879 1.673
Hg 2.879 0.000 1.673
Pb 2.879 2.879 0.000
CELL_PARAMETERS angstrom
5.759 0.000 0.000
0.000 5.759 0.000
0.000 0.000 3.347

***

[6]
! In5Hg4Pb (PBE-GGA, optimized geometry); values from VASP
! * electronic total energy: -1.851 eV per atom
! * ΔE_f: 0.0096 eV/atom
! * calculated density: 9.75 g cm⁻³
&SYSTEM
  ibrav = 0, nat = 10, ntyp = 3
/
ATOMIC_SPECIES
In 114.82 In.upf
Hg 200.59 Hg.upf
Pb 207.20 Pb.upf
ATOMIC_POSITIONS angstrom
In 0.000 0.000 0.000
In 0.000 0.000 3.459
In 0.000 0.000 6.834
In 0.000 0.000 10.666
In 0.000 0.000 14.041
Hg 1.963 1.963 1.720
Hg 1.963 1.963 5.153
Hg 1.963 1.963 12.347
Hg 1.963 1.963 15.780
Pb 1.963 1.963 8.750
CELL_PARAMETERS angstrom
3.926 0.000 0.000
0.000 3.926 0.000
0.000 0.000 17.500

***

Question: Look up the calculated density of the second one.
Answer: 8.73 g cm⁻³

***

Question: The highest ΔE_f belongs to which entry?
Answer: In8Hg3Pb4